# AcLa2Sm2Tm2 (PBE, relaxed)
data_AcLa2Sm2Tm2
_chemical_formula_sum 'Ac2 La4 Sm4 Tm4'
_symmetry_space_group_name_H-M 'C 1 2/m 1'
_symmetry_Int_Tables_number 12
_cell_length_a 11.690
_cell_length_b 5.236
_cell_length_c 8.125
_cell_angle_alpha 90.00
_cell_angle_beta 98.25
_cell_angle_gamma 90.00
loop_
_symmetry_equiv_pos_as_xyz
'x,y,z'
'-x,-y,-z'
'-x,y,-z'
'x,-y,z'
'x+1/2,y+1/2,z'
'-x+1/2,-y+1/2,-z'
'-x+1/2,y+1/2,-z'
'x+1/2,-y+1/2,z'
loop_
_atom_site_label
_atom_site_fract_x
_atom_site_fract_y
_atom_site_fract_z
_atom_site_occupancy
Ac1 0.000 0.000 0.000 1
La1 0.215 0.500 0.152 1
Sm1 0.075 0.500 0.704 1
Tm1 0.142 0.000 0.433 1
# **Magnetization**: 0.000 μB/atom
# **Density of states at the Fermi level**: 23.188 states/eV per cell
# **Formation energy from the elements**: 0.04 eV per atom